No. 1
First-principles (PBE) data for a relaxed CaMg2MoH8 crystal, as listed in the Alexandria database.

Symmetry: No. 119
E_tot, eV per atom: -3.780
Total magnetization, μB per formula unit: 0.00
Density, g/cm3: 3.06
Density of states at the Fermi level, states/eV/cell: 0.2

abc: 4.7366 4.7366 5.7450
angles: 114.35 114.35 90.00
Closest atoms and distances in Å follow each position.
Fractional coordinates of all 12 atoms:
Mg: 0.7500 0.2500 0.5000  8 H 2.06
Mg: 0.0000 0.0000 0.0000  8 H 2.07
H: 0.6057 0.0872 0.7235  1 Mo 1.89, 2 Mg 2.06-2.07, 1 H 2.09
H: 0.3637 0.3943 0.2765  1 Mo 1.89, 2 Mg 2.06-2.07, 1 H 2.09
H: 0.6057 0.6363 0.7235  1 Mo 1.89, 2 Mg 2.06-2.07, 1 H 2.09
H: 0.9128 0.3943 0.2765  1 Mo 1.89, 2 Mg 2.06-2.07, 1 H 2.09
H: 0.1177 0.6363 0.7235  1 Mo 1.89, 2 Mg 2.06-2.07, 1 H 2.09
H: 0.3637 0.8823 0.2765  1 Mo 1.89, 2 Mg 2.06-2.07, 1 H 2.09
H: 0.1177 0.0872 0.7235  1 Mo 1.89, 2 Mg 2.06-2.07, 1 H 2.09
H: 0.9128 0.8823 0.2765  1 Mo 1.89, 2 Mg 2.06-2.07, 1 H 2.09
Mo: 0.2500 0.7500 0.5000  8 H 1.89
Ca: 0.5000 0.5000 0.0000  8 H 2.17

---

No. 2
First-principles (PBE) data for a relaxed TlSn crystal, as listed in the Alexandria database.

Energy relative to the elements, meV/atom: 52
Symmetry: No. 8
E_tot, eV per atom: -3.133
Total magnetization, μB per formula unit: 0.00
Density, g/cm3: 9.23
Density of states at the Fermi level, states/eV/cell: 1.6

abc: 6.1505 3.3951 6.0528
angles: 90.00 113.08 90.00
Closest atoms and distances in Å follow each position.
Fractional coordinates of all 4 atoms:
Tl: 0.8935 0.0000 0.4357  6 Sn 3.36-3.52, 6 Tl 3.40-3.47
Tl: 0.8935 0.5000 0.9357  6 Sn 3.36-3.52, 6 Tl 3.40-3.47
Sn: 0.3937 0.0000 0.9349  6 Tl 3.36-3.52, 6 Sn 3.40-3.47
Sn: 0.3937 0.5000 0.4349  6 Tl 3.36-3.52, 6 Sn 3.40-3.47

---

No. 3
First-principles (PBE) data for a relaxed SrCr2Cu crystal, as listed in the Alexandria database.

Energy relative to the elements, meV/atom: 705
Symmetry: No. 12
E_tot, eV per atom: -5.551
Total magnetization, μB per formula unit: 0.00
Energy above the lowest structure with this stoichiometry, eV/atom: 0.2831
Density, g/cm3: 5.43
Density of states at the Fermi level, states/eV/cell: 4.2

abc: 4.8525 4.8525 5.5668
angles: 78.64 78.64 37.46
Closest atoms and distances in Å follow each position.
Fractional coordinates of all 4 atoms:
Cu: 0.2500 0.2500 0.2500  6 Cr 2.51-2.78
Cr: 0.5321 0.5321 0.3578  2 Cr 2.12
Cr: 0.9679 0.9679 0.1422  2 Cr 2.12
Sr: 0.7500 0.7500 0.7500  2 Sr 3.12, 4 Cu 3.19, 6 Cr 3.26-3.40